#w
# BeZn2C

A relaxed structure of BeZn2C (PBE, Alexandria).

Lattice parameters (Å, degrees): 4.8858 4.8858 10.7395 90.00 90.00 90.00
Space group I-42d (No. 122)
Symmetry-distinct sites (fractional):
Be: 0.0000 0.0000 0.0000 x4
Zn: 0.1516 0.2500 0.6250 x8
C: 0.0000 0.0000 0.5000 x4

## Properties
Its mass density is 3.93 g/cm3.

---

#x
# BeZn2C

A relaxed structure of BeZn2C (PBE, Alexandria).

Lattice parameters (Å, degrees): 5.6860 5.6860 5.6860 90.00 90.00 90.00
Space group Fm-3m (No. 225)
Symmetry-distinct sites (fractional):
Be: 0.0000 0.0000 0.0000 x4
Zn: 0.2500 0.2500 0.2500 x8
C: 0.0000 0.0000 0.5000 x4

## Properties
Its mass density is 5.49 g/cm3.

---

Stability, highest: #w

---

#w
# BeZnC2

A relaxed structure of BeZnC2 (PBE, Alexandria).

Lattice parameters (Å, degrees): 3.4776 3.4776 11.8197 90.00 90.00 90.00
Space group I-42d (No. 122)
Symmetry-distinct sites (fractional):
Be: 0.0000 0.0000 0.0000 x4
Zn: 0.0000 0.0000 0.5000 x4
C: 0.1323 0.2500 0.1250 x8

## Properties
Its mass density is 4.57 g/cm3.

---

#x
# BeZnC2

A relaxed structure of BeZnC2 (PBE, Alexandria).

Lattice parameters (Å, degrees): 5.2380 5.2380 5.2380 90.00 90.00 90.00
Space group Fm-3m (No. 225)
Symmetry-distinct sites (fractional):
Be: 0.0000 0.0000 0.0000 x4
Zn: 0.0000 0.0000 0.5000 x4
C: 0.2500 0.2500 0.2500 x8

## Properties
Its mass density is 4.55 g/cm3.

---

Stability, highest: #w

---

#w
# Be3ZnC

A relaxed structure of Be3ZnC (PBE, Alexandria).

Lattice parameters (Å, degrees): 4.0526 4.0526 4.0526 90.00 90.00 90.00
Space group Pm-3m (No. 221)
Symmetry-distinct sites (fractional):
Be: 0.0000 0.0000 0.5000 x3
Zn: 0.0000 0.0000 0.0000 x1
C: 0.5000 0.5000 0.5000 x1

## Properties
Its mass density is 2.61 g/cm3.

---

#x
# Be3ZnC

A relaxed structure of Be3ZnC (PBE, Alexandria).

Lattice parameters (Å, degrees): 3.6221 3.6221 3.6221 90.00 90.00 90.00
Space group Pm-3m (No. 221)
Symmetry-distinct sites (fractional):
Be: 0.0000 0.0000 0.5000 x3
Zn: 0.5000 0.5000 0.5000 x1
C: 0.0000 0.0000 0.0000 x1

## Properties
Its mass density is 3.65 g/cm3.

---

Stability, highest: #x

---

#w
# Zr2BeZnC

A relaxed structure of Zr2BeZnC (PBE, Alexandria).

Lattice parameters (Å, degrees): 4.6516 4.6516 3.4625 90.00 90.00 90.00
Space group P4/mmm (No. 123)
Symmetry-distinct sites (fractional):
Zr: 0.0000 0.5000 0.0000 x2
Be: 0.0000 0.0000 0.5000 x1
Zn: 0.5000 0.5000 0.5000 x1
C: 0.0000 0.0000 0.0000 x1

## Properties
Its mass density is 5.96 g/cm3.

---

#x
# Zr2BeZnC

A relaxed structure of Zr2BeZnC (PBE, Alexandria).

Lattice parameters (Å, degrees): 6.1599 3.4408 7.4894 90.00 107.37 90.00
Space group P2_1/m (No. 11)
Symmetry-distinct sites (fractional):
Zr: 0.1889 0.2500 0.3853 x2
Zr: 0.2113 0.2500 0.9686 x2
Be: 0.4523 0.7500 0.2484 x2
Zn: 0.3045 0.7500 0.6985 x2
C: 0.1657 0.7500 0.1723 x2

## Properties
Its mass density is 5.89 g/cm3.

---

Stability, highest: #x

---

#w
# ZrBe3C

A relaxed structure of ZrBe3C (PBE, Alexandria).

Lattice parameters (Å, degrees): 3.7549 3.7549 3.7549 90.00 90.00 90.00
Space group Pm-3m (No. 221)
Symmetry-distinct sites (fractional):
Zr: 0.0000 0.0000 0.0000 x1
Be: 0.0000 0.5000 0.5000 x3
C: 0.5000 0.5000 0.5000 x1

## Properties
Its mass density is 4.09 g/cm3.

---

#x
# ZrBe3C

A relaxed structure of ZrBe3C (PBE, Alexandria).

Lattice parameters (Å, degrees): 4.6826 4.6826 4.6826 90.00 90.00 90.00
Space group Pm-3m (No. 221)
Symmetry-distinct sites (fractional):
Zr: 0.0000 0.0000 0.0000 x1
Be: 0.0000 0.0000 0.5000 x3
C: 0.5000 0.5000 0.5000 x1

## Properties
Its mass density is 2.11 g/cm3.

---

Stability, highest: #w

---

#w
# Ca3Be

A relaxed structure of Ca3Be (PBE, Alexandria).

Lattice parameters (Å, degrees): 5.0117 5.0117 19.5641 90.00 90.00 90.00
Space group I4/mmm (No. 139)
Symmetry-distinct sites (fractional):
Ca: 0.0000 0.0000 0.1240 x4
Ca: 0.0000 0.5000 0.0000 x4
Ca: 0.0000 0.5000 0.2500 x4
Be: 0.0000 0.0000 0.3649 x4

## Properties
Its mass density is 1.75 g/cm3.

---

#x
# Ca3Be

A relaxed structure of Ca3Be (PBE, Alexandria).

Lattice parameters (Å, degrees): 3.9059 3.9059 31.2922 90.00 90.00 120.00
Space group R-3m (No. 166, hexagonal axes)
Symmetry-distinct sites (fractional):
Ca: 0.0000 0.0000 0.0000 x3
Ca: 0.0000 0.0000 0.2270 x6
Be: 0.0000 0.0000 0.5000 x3

## Properties
Its mass density is 1.56 g/cm3.

---

#y
# Ca3Be

A relaxed structure of Ca3Be (PBE, Alexandria).

Lattice parameters (Å, degrees): 3.8909 3.8909 10.4318 90.00 90.00 120.00
Space group P-6m2 (No. 187)
Symmetry-distinct sites (fractional):
Ca: 0.0000 0.0000 0.0000 x1
Ca: 0.6667 0.3333 0.3138 x2
Be: 0.0000 0.0000 0.5000 x1

## Properties
Its mass density is 1.57 g/cm3.

---

#z
# Ca3Be

A relaxed structure of Ca3Be (PBE, Alexandria).

Lattice parameters (Å, degrees): 3.7522 11.6629 5.9230 90.00 90.00 90.00
Space group Imm2 (No. 44)
Symmetry-distinct sites (fractional):
Ca: 0.0000 0.0000 0.0000 x2
Ca: 0.0000 0.1903 0.5025 x4
Be: 0.0000 0.5000 0.9153 x2

## Properties
Its mass density is 1.66 g/cm3.

---

Stability, highest: #z

---

#w
# Ca3Be

A relaxed structure of Ca3Be (PBE, Alexandria).

Lattice parameters (Å, degrees): 10.9763 10.9763 3.6808 90.00 90.00 120.00
Space group R-3m (No. 166, hexagonal axes)
Symmetry-distinct sites (fractional):
Ca: 0.0000 0.5000 0.0000 x9
Be: 0.0000 0.0000 0.0000 x3

## Properties
Its mass density is 1.68 g/cm3.

---

#x
# Ca3Be

A relaxed structure of Ca3Be (PBE, Alexandria).

Lattice parameters (Å, degrees): 5.0483 6.8388 7.2936 90.00 90.00 90.00
Space group Pmmn (No. 59, origin choice 2)
Symmetry-distinct sites (fractional):
Ca: 0.2500 0.0053 0.1429 x4
Ca: 0.2500 0.2500 0.5713 x2
Be: 0.2500 0.7500 0.7512 x2

## Properties
Its mass density is 1.70 g/cm3.

---

#y
# Ca3Be

A relaxed structure of Ca3Be (PBE, Alexandria).

Lattice parameters (Å, degrees): 3.6423 3.6423 9.4761 90.00 90.00 90.00
Space group P4/mmm (No. 123)
Symmetry-distinct sites (fractional):
Ca: 0.0000 0.0000 0.0000 x1
Ca: 0.5000 0.5000 0.3208 x2
Be: 0.0000 0.0000 0.5000 x1

## Properties
Its mass density is 1.71 g/cm3.

---

#z
# Ca3Be

A relaxed structure of Ca3Be (PBE, Alexandria).

Lattice parameters (Å, degrees): 7.8105 7.8105 7.8105 90.00 90.00 90.00
Space group Fm-3m (No. 225)
Symmetry-distinct sites (fractional):
Ca: 0.0000 0.0000 0.0000 x4
Ca: 0.2500 0.2500 0.2500 x8
Be: 0.0000 0.0000 0.5000 x4

## Properties
Its mass density is 1.80 g/cm3.

---

Stability, highest: #y

---

#w
# Ca3Be

A relaxed structure of Ca3Be (PBE, Alexandria).

Lattice parameters (Å, degrees): 6.2995 6.2995 6.2995 90.00 90.00 90.00
Space group Pm-3n (No. 223)
Symmetry-distinct sites (fractional):
Ca: 0.0000 0.2500 0.5000 x6
Be: 0.0000 0.0000 0.0000 x2

## Properties
Its mass density is 1.72 g/cm3.

---

#x
# Ca3Be

A relaxed structure of Ca3Be (PBE, Alexandria).

Lattice parameters (Å, degrees): 7.1222 7.1222 5.5402 90.00 90.00 120.00
Space group P6_3/mmc (No. 194)
Symmetry-distinct sites (fractional):
Ca: 0.1752 0.3505 0.2500 x6
Be: 0.3333 0.6667 0.7500 x2

## Properties
Its mass density is 1.76 g/cm3.

---

Stability, highest: #x